Pm2PO after structural relaxation, computed with PBE.

Results
Space group: R3m (160)
Uncorrected formation energy (eV/atom): -1.90
Electronic total energy (eV per cell): -27.46
Crystal system: trigonal
Total magnetization (μB/f.u.): 0.00

```
Pm2PO
1.0
1.880 1.086 6.704
-1.880 1.086 6.704
0.000 -2.171 6.704
Pm P O
2 1 1
direct
0.000 0.000 0.000
0.161 0.161 0.161
0.580 0.580 0.580
0.408 0.408 0.408
```